Record 1
Below is a geometry-optimized Rb2Zn2P structure, with properties calculated at the PBE-GGA level.

Cell: 6.9799 6.9799 5.6936 Å, 90.00 90.00 90.00°
With the nearest neighbours (Å) after each atom.
Atoms (fractional coordinates):
P  0.0000  0.0000  0.0000  4 Zn 2.74
P  0.5000  0.5000  0.0000  4 Zn 2.74
Zn  0.3708  0.8708  0.0000  1 Zn 2.55, 2 P 2.74
Zn  0.8708  0.6292  0.0000  1 Zn 2.55, 2 P 2.74
Zn  0.6292  0.1292  0.0000  1 Zn 2.55, 2 P 2.74
Zn  0.1292  0.3708  0.0000  1 Zn 2.55, 2 P 2.74
Rb  0.1958  0.6958  0.5000  6 Zn 3.33-3.67, 4 Rb 3.57
Rb  0.6958  0.8042  0.5000  6 Zn 3.33-3.67, 4 Rb 3.57
Rb  0.8042  0.3042  0.5000  6 Zn 3.33-3.67, 4 Rb 3.57
Rb  0.3042  0.1958  0.5000  6 Zn 3.33-3.67, 4 Rb 3.57

## Properties
Its space group is P4/mbm (127). For the formation energy, the calculation gives 0.109 eV/atom. The calculation puts the offset from the most stable computed form at 0 meV/atom.

***

Record 2
Below is a geometry-optimized Na2Tl6Bi structure, with properties calculated at the PBE-GGA level.

Cell: 8.8359 8.6919 8.8359 Å, 64.82 84.79 64.82°
With the nearest neighbours (Å) after each atom.
Atoms (fractional coordinates):
Na  0.3933  0.9324  0.2104  2 Bi 3.31-3.48, 7 Tl 3.32-3.63
Na  0.7896  0.5676  0.6067  2 Bi 3.31-3.48, 7 Tl 3.32-3.63
Na  0.6067  0.0676  0.7896  2 Bi 3.31-3.48, 7 Tl 3.32-3.63
Na  0.2104  0.4324  0.3933  2 Bi 3.31-3.48, 7 Tl 3.32-3.63
Tl  0.3841  0.5506  0.6425  4 Tl 3.20-3.28, 1 Bi 3.43, 2 Na 3.46-3.48
Tl  0.3575  0.9494  0.6159  4 Tl 3.20-3.28, 1 Bi 3.43, 2 Na 3.46-3.48
Tl  0.6159  0.4494  0.3575  4 Tl 3.20-3.28, 1 Bi 3.43, 2 Na 3.46-3.48
Tl  0.6425  0.0506  0.3841  4 Tl 3.20-3.28, 1 Bi 3.43, 2 Na 3.46-3.48
Tl  0.9573  0.1286  0.6171  7 Tl 3.20-3.57, 2 Na 3.42-3.47, 1 Bi 3.51
Tl  0.3829  0.3714  0.0427  7 Tl 3.20-3.57, 2 Na 3.42-3.47, 1 Bi 3.51
Tl  0.0427  0.8714  0.3829  7 Tl 3.20-3.57, 2 Na 3.42-3.47, 1 Bi 3.51
Tl  0.6171  0.6286  0.9573  7 Tl 3.20-3.57, 2 Na 3.42-3.47, 1 Bi 3.51
Tl  0.1825  0.8147  0.0191  2 Na 3.32-3.48, 7 Tl 3.36-3.67, 2 Bi 3.48-3.71
Tl  0.9809  0.6853  0.8175  2 Na 3.32-3.48, 7 Tl 3.36-3.67, 2 Bi 3.48-3.71
Tl  0.8175  0.1853  0.9809  2 Na 3.32-3.48, 7 Tl 3.36-3.67, 2 Bi 3.48-3.71
Tl  0.0191  0.3147  0.1825  2 Na 3.32-3.48, 7 Tl 3.36-3.67, 2 Bi 3.48-3.71
Bi  0.8051  0.7500  0.1949  4 Na 3.31-3.48, 6 Tl 3.43-3.51
Bi  0.1949  0.2500  0.8051  4 Na 3.31-3.48, 6 Tl 3.43-3.51

## Properties
Its space group is C2/c (15). For the formation energy, the calculation gives -0.086 eV/atom. The calculation puts the offset from the most stable computed form at 0 meV/atom.

***

Record 3
Below is a geometry-optimized K2LiYPb structure, with properties calculated at the PBE-GGA level.

Cell: 6.6389 5.2269 6.6389 Å, 90.00 90.00 90.00°
With the nearest neighbours (Å) after each atom.
Atoms (fractional coordinates):
Pb  0.0000  0.0000  0.0000  2 Li 2.61
Y  0.5000  0.5000  0.5000  8 K 4.22, 4 Li 4.69
K  0.0000  0.0000  0.5000  2 Pb 3.32
K  0.5000  0.0000  0.0000  2 Pb 3.32
Li  0.0000  0.5000  0.0000  2 Pb 2.61

## Properties
Its space group is P4/mmm (123). For the formation energy, the calculation gives 0.556 eV/atom.

***

Number 1: density of states at the Fermi level 0.642 states/eV/atom. Number 2: density of states at the Fermi level 0.460 states/eV/atom. Number 3: density of states at the Fermi level 0.481 states/eV/atom.